# 1
Density functional theory data (PBE) for a relaxed In2TeW crystal.

Output
As for the total energy: -18.9 eV for the cell shown. The calculation puts the calculated volume at 88.84 Å³/cell. The magnetization comes out at 0.00 Bohr magnetons per cell.

abc: 3.6514 3.6514 6.6635
angles: 90.00 90.00 90.00
Space group P4/mmm (No. 123)
One atom of each set of equivalent atoms:
In1 0.0000 0.0000 0.2152 [2 per cell]
Te1 0.5000 0.5000 0.5000 [1 per cell]
W1 0.5000 0.5000 0.0000 [1 per cell]

---

# 2
Density functional theory data (PBE) for a relaxed InTeW2 crystal.

Output
As for the total energy: -28.3 eV for the cell shown. The calculation puts the calculated volume at 74.01 Å³/cell. The magnetization comes out at 0.00 Bohr magnetons per cell. As for the offset from the most stable computed form: 467 meV per atom.

abc: 3.2927 3.2927 6.8257
angles: 90.00 90.00 90.00
Space group P4/mmm (No. 123)
One atom of each set of equivalent atoms:
In1 0.0000 0.0000 0.0000 [1 per cell]
Te1 0.0000 0.0000 0.5000 [1 per cell]
W1 0.5000 0.5000 0.2617 [2 per cell]

---

# 3
Density functional theory data (PBE) for a relaxed In2TeW crystal.

Output
As for the total energy: -37.6 eV for the cell shown. The calculation puts the calculated volume at 176.67 Å³/cell. The magnetization comes out at 0.00 Bohr magnetons per cell.

abc: 6.5192 9.0687 2.9884
angles: 90.00 90.00 90.00
Space group Cmmm (No. 65)
One atom of each set of equivalent atoms:
In1 0.2500 0.2500 0.0000 [4 per cell]
Te1 0.0000 0.0000 0.5000 [2 per cell]
W1 0.0000 0.5000 0.5000 [2 per cell]

---

# 4
Density functional theory data (PBE) for a relaxed In2TeW crystal.

Output
As for the total energy: -72.9 eV for the cell shown. The calculation puts the calculated volume at 383.44 Å³/cell. The magnetization comes out at 7.50 Bohr magnetons per cell.

abc: 4.2202 4.2202 21.5296
angles: 90.00 90.00 90.00
Space group I-42d (No. 122)
One atom of each set of equivalent atoms:
In1 0.2371 0.2500 0.1250 [8 per cell]
Te1 0.0000 0.0000 0.5000 [4 per cell]
W1 0.0000 0.0000 0.0000 [4 per cell]

---

# 5
Density functional theory data (PBE) for a relaxed InTeW2 crystal.

Output
As for the total energy: -89.7 eV for the cell shown. The calculation puts the calculated volume at 255.87 Å³/cell. The magnetization comes out at 0.00 Bohr magnetons per cell. As for the offset from the most stable computed form: 72 meV per atom.

abc: 3.3289 3.3289 26.6627
angles: 90.00 90.00 120.00
Space group R3m (No. 160, hexagonal axes)
One atom of each set of equivalent atoms:
In1 0.0000 0.0000 0.0000 [3 per cell]
Te1 0.0000 0.0000 0.7696 [3 per cell]
W1 0.0000 0.0000 0.2475 [3 per cell]
W2 0.0000 0.0000 0.5163 [3 per cell]

---

# 6
Density functional theory data (PBE) for a relaxed InTeW2 crystal.

Output
As for the total energy: -59.2 eV for the cell shown. The calculation puts the calculated volume at 169.16 Å³/cell. The magnetization comes out at 0.00 Bohr magnetons per cell. As for the offset from the most stable computed form: 146 meV per atom.

abc: 3.3229 4.9676 10.2480
angles: 90.00 90.00 90.00
Space group Cmm2 (No. 35)
One atom of each set of equivalent atoms:
In1 0.0000 0.0000 0.0000 [2 per cell]
Te1 0.0000 0.5000 0.3251 [2 per cell]
W1 0.0000 0.0000 0.5614 [2 per cell]
W2 0.0000 0.5000 0.7539 [2 per cell]

---

# 7
Density functional theory data (PBE) for a relaxed In2TeW crystal.

Output
As for the total energy: -20.3 eV for the cell shown. The calculation puts the calculated volume at 96.37 Å³/cell. The magnetization comes out at 0.00 Bohr magnetons per cell.

abc: 3.2677 3.2677 9.0250
angles: 90.00 90.00 90.00
Space group P4mm (No. 99)
One atom of each set of equivalent atoms:
In1 0.0000 0.0000 0.0000 [1 per cell]
In2 0.5000 0.5000 0.2742 [1 per cell]
Te1 0.0000 0.0000 0.6136 [1 per cell]
W1 0.5000 0.5000 0.7841 [1 per cell]

---

# 8
Density functional theory data (PBE) for a relaxed InTeW2 crystal.

Output
As for the total energy: -30.2 eV for the cell shown. The calculation puts the calculated volume at 86.82 Å³/cell. The magnetization comes out at 0.00 Bohr magnetons per cell. As for the offset from the most stable computed form: 0 meV per atom.

abc: 3.2490 3.2490 8.2245
angles: 90.00 90.00 90.00
Space group P4mm (No. 99)
One atom of each set of equivalent atoms:
In1 0.0000 0.0000 0.0000 [1 per cell]
Te1 0.5000 0.5000 0.3853 [1 per cell]
W1 0.0000 0.0000 0.5968 [1 per cell]
W2 0.5000 0.5000 0.7696 [1 per cell]

---

> Among the records above, which one has the highest magnetization?

number 4

---

> Which formula does entry 5 have?

InTeW2

---

> Which of these has the highest calculated volume?

number 4